No. 1
Pr2Sm4Dy5 | Alexandria | GGA-PBE | relaxed; Fermi-level density of states = 20.08 states/eV per cell; SG = No. 12; total magnetic moment = 0.00 μB per formula unit; total DFT energy (no corrections) = -0.167 Ha/atom
1.0
12.063 -1.740 0.000
12.063 1.740 0.000
-1.014 0.000 8.773
Pr Sm Dy
2 4 5
Cartesian
1.946 0.000 2.110
21.167 0.000 6.663
0.238 0.000 7.532
7.718 0.000 0.253
15.394 0.000 8.519
22.875 0.000 1.240
2.797 0.000 5.427
5.288 0.000 2.878
11.556 0.000 4.386
17.825 0.000 5.895
20.316 0.000 3.346

No. 2
ZnSiHgC2 | Alexandria | GGA-PBE | relaxed; Fermi-level density of states = 3.05 states/eV per cell; energy relative to the elements, uncorrected = 1.445 eV per atom; SG = No. 123; total magnetic moment = 0.00 μB per formula unit
1.0
3.691 0.000 0.000
0.000 3.691 0.000
0.000 0.000 6.105
Zn Si Hg C
1 1 1 2
Cartesian
0.000 0.000 0.000
1.846 1.846 3.052
1.846 1.846 0.000
0.000 1.846 3.052
1.846 0.000 3.052

No. 3
BeBi2BAs | Alexandria | GGA-PBE | relaxed; Fermi-level density of states = 2.91 states/eV per cell; SG = No. 123; total magnetic moment = 0.00 μB per formula unit; total DFT energy (no corrections) = -0.149 Ha/atom
1.0
5.331 0.000 0.000
0.000 5.331 0.000
0.000 0.000 3.618
Be Bi B As
1 2 1 1
Cartesian
0.000 0.000 0.000
0.000 2.665 1.809
2.665 0.000 1.809
0.000 0.000 1.809
2.665 2.665 0.000

No. 4
BaAsRhPb | Alexandria | GGA-PBE | relaxed; Fermi-level density of states = 9.71 states/eV per cell; SG = No. 129; total magnetic moment = 0.00 μB per formula unit; total DFT energy (no corrections) = -0.183 Ha/atom
1.0
4.370 0.000 0.000
0.000 4.370 0.000
0.000 0.000 11.926
Ba As Rh Pb
2 2 2 2
Cartesian
1.092 1.092 2.804
3.277 3.277 9.122
1.092 1.092 10.697
3.277 3.277 1.228
1.092 3.277 0.000
3.277 1.092 0.000
1.092 3.277 5.963
3.277 1.092 5.963